The following is a DFT calculation (PBE) of ScAl2PbAu after structural relaxation.

Geometry as CIF:
```
data_ScAl2PbAu
_cell_length_a 5.275
_cell_length_b 5.275
_cell_length_c 5.537
_cell_angle_alpha 90.00
_cell_angle_beta 90.00
_cell_angle_gamma 90.00
_symmetry_space_group_name_H-M 'P 4/m m m'
_symmetry_Int_Tables_number 123
_symmetry_space_group_name_Hall '-P 4 2'
loop_
_atom_site_label
_atom_site_fract_x
_atom_site_fract_y
_atom_site_fract_z
_atom_site_occupancy
Sc1 0.000 0.000 0.000 1
Al1 0.000 0.500 0.000 1
Pb1 0.000 0.000 0.500 1
Au1 0.500 0.500 0.500 1
```

Output
The total magnetization comes out at 0.27 μB/cell. The calculation puts the density of states at the Fermi level at 4.97 states/eV/cell. The calculation puts the formation energy from the elements at 894 meV/atom. As for the crystal system: tetragonal. The total energy comes out at -16.33 eV/f.u.